Entry from the Alexandria database: a relaxed structure of Pm10Y6Ho (PBE).

Properties
The magnetic moment is 0.0 μB per cell. The space-group type is P-31m. For the formation energy from the elements, the calculation gives 130 meV per atom.

abc: 6.9068 9.8356 9.8356
angles: 120.00 90.00 90.00
With the nearest neighbours (Å) after each atom.
Fractional coordinates of all 17 atoms:
Pm1 0.8164 0.7259 0.7259  5 Y 3.39-3.63, 1 Ho 3.47, 2 Pm 3.70
Pm2 0.8164 0.0000 0.2741  5 Y 3.39-3.63, 1 Ho 3.47, 2 Pm 3.70
Pm3 0.8164 0.2741 0.0000  5 Y 3.39-3.63, 1 Ho 3.47, 2 Pm 3.70
Pm4 0.1836 0.2741 0.2741  5 Y 3.39-3.63, 1 Ho 3.47, 2 Pm 3.70
Pm5 0.1836 0.0000 0.7259  5 Y 3.39-3.63, 1 Ho 3.47, 2 Pm 3.70
Pm6 0.1836 0.7259 0.0000  5 Y 3.39-3.63, 1 Ho 3.47, 2 Pm 3.70
Pm7 0.5000 0.3333 0.6667  6 Y 3.38, 2 Pm 3.45
Pm8 0.5000 0.6667 0.3333  6 Y 3.38, 2 Pm 3.45
Pm9 0.0000 0.6667 0.3333  8 Pm 3.45-3.82, 6 Y 3.77
Pm10 0.0000 0.3333 0.6667  8 Pm 3.45-3.82, 6 Y 3.77
Y1 0.6915 0.3705 0.3705  9 Pm 3.38-3.77, 1 Y 3.67
Y2 0.6915 0.0000 0.6295  9 Pm 3.38-3.77, 1 Y 3.67
Y3 0.6915 0.6295 0.0000  9 Pm 3.38-3.77, 1 Y 3.67
Y4 0.3085 0.6295 0.6295  9 Pm 3.38-3.77, 1 Y 3.67
Y5 0.3085 0.0000 0.3705  9 Pm 3.38-3.77, 1 Y 3.67
Y6 0.3085 0.3705 0.0000  9 Pm 3.38-3.77, 1 Y 3.67
Ho1 0.5000 0.0000 0.0000  6 Pm 3.47, 6 Y 3.88

=====

Entry from the Alexandria database: a relaxed structure of PmYHo2 (PBE).

Properties
The magnetic moment is 0.0 μB per cell. As for the energy above the most stable polymorph in this dataset: 0.0 kJ/mol of formula units. The space-group type is Imm2. For the formation energy from the elements, the calculation gives 14 meV per atom.

abc: 3.6489 6.7468 6.7468
angles: 55.58 74.34 74.34
With the nearest neighbours (Å) after each atom.
Fractional coordinates of all 4 atoms:
Pm1 0.2500 0.1679 0.3321  6 Ho 3.53-3.54, 4 Y 3.63-3.65, 2 Pm 3.65
Y1 0.7500 0.6662 0.8338  6 Ho 3.53-3.54, 4 Pm 3.63-3.65, 2 Y 3.65
Ho1 0.0002 0.0824 0.9164  3 Y 3.53-3.54, 3 Pm 3.53-3.54, 6 Ho 3.63-3.65
Ho2 0.4998 0.5836 0.4176  3 Y 3.53-3.54, 3 Pm 3.53-3.54, 6 Ho 3.63-3.65

=====

Entry from the Alexandria database: a relaxed structure of Pm2Y6Ho3 (PBE).

Properties
The magnetic moment is 0.0 μB per cell. As for the energy above the most stable polymorph in this dataset: 0.0 kJ/mol of formula units. The space-group type is C2/m. For the formation energy from the elements, the calculation gives 190 meV per atom.

abc: 6.1462 6.1539 11.7241
angles: 84.94 79.83 60.04
With the nearest neighbours (Å) after each atom.
Fractional coordinates of all 11 atoms:
Pm1 0.1666 0.6669 0.5000  3 Pm 3.55, 6 Y 3.56
Pm2 0.8334 0.3331 0.5000  3 Pm 3.55, 6 Y 3.56
Y1 0.4161 0.6668 0.7524  3 Ho 3.52-3.53, 6 Y 3.55, 2 Pm 3.56
Y2 0.7494 0.0000 0.7522  3 Ho 3.51-3.52, 6 Y 3.55, 2 Pm 3.56
Y3 0.0829 0.3332 0.7524  3 Ho 3.52-3.53, 6 Y 3.55, 2 Pm 3.56
Y4 0.2506 0.0000 0.2478  3 Ho 3.51-3.52, 6 Y 3.55, 2 Pm 3.56
Y5 0.5839 0.3332 0.2476  3 Ho 3.52-3.53, 6 Y 3.55, 2 Pm 3.56
Y6 0.9171 0.6668 0.2476  3 Ho 3.52-3.53, 6 Y 3.55, 2 Pm 3.56
Ho1 0.0000 0.0000 0.0000  6 Y 3.52, 6 Ho 3.54-3.57
Ho2 0.3350 0.3300 0.0000  6 Y 3.51-3.53, 6 Ho 3.52-3.57
Ho3 0.6650 0.6700 0.0000  6 Y 3.51-3.53, 6 Ho 3.52-3.57

=====

Entry from the Alexandria database: a relaxed structure of Pm10YHo4 (PBE).

Properties
The magnetic moment is 0.0 μB per cell. The space-group type is I4/m. For the formation energy from the elements, the calculation gives 435 meV per atom.

abc: 10.8982 8.9011 8.9011
angles: 67.99 52.25 52.25
With the nearest neighbours (Å) after each atom.
Fractional coordinates of all 15 atoms:
Pm1 0.2500 0.5000 0.5000  4 Pm 3.10
Pm2 0.7135 0.3461 0.8928  2 Pm 3.10-3.20, 1 Y 3.13
Pm3 0.9404 0.1072 0.3461  2 Pm 3.10-3.20, 1 Y 3.13
Pm4 0.3937 0.8928 0.6539  2 Pm 3.10-3.20, 1 Y 3.13
Pm5 0.9524 0.6539 0.1072  2 Pm 3.10-3.20, 1 Y 3.13
Pm6 0.2865 0.6539 0.1072  2 Pm 3.10-3.20, 1 Y 3.13
Pm7 0.7500 0.5000 0.5000  4 Pm 3.10
Pm8 0.0476 0.3461 0.8928  2 Pm 3.10-3.20, 1 Y 3.13
Pm9 0.6063 0.1072 0.3461  2 Pm 3.10-3.20, 1 Y 3.13
Pm10 0.0596 0.8928 0.6539  2 Pm 3.10-3.20, 1 Y 3.13
Y1 0.0000 0.0000 0.0000  8 Pm 3.13
Ho1 0.5578 0.6589 0.2255  8 Pm 3.52-3.89
Ho2 0.7833 0.7745 0.6589  8 Pm 3.52-3.89
Ho3 0.2167 0.2255 0.3411  8 Pm 3.52-3.89
Ho4 0.4422 0.3411 0.7745  8 Pm 3.52-3.89

=====

Entry from the Alexandria database: a relaxed structure of Pm3Y12Ho (PBE).

Properties
The magnetic moment is 0.0 μB per cell. The space-group type is P4/mmm. For the formation energy from the elements, the calculation gives 22 meV per atom.

abc: 5.0671 5.0671 20.2703
angles: 90.00 90.00 90.00
With the nearest neighbours (Å) after each atom.
Fractional coordinates of all 16 atoms:
Pm1 0.0000 0.0000 0.2492  12 Y 3.58-3.59
Pm2 0.0000 0.0000 0.5000  12 Y 3.58-3.59
Pm3 0.0000 0.0000 0.7508  12 Y 3.58-3.59
Y1 0.5000 0.5000 0.0000  8 Y 3.56, 4 Ho 3.58
Y2 0.5000 0.5000 0.2487  4 Pm 3.58, 8 Y 3.59
Y3 0.5000 0.5000 0.5000  4 Pm 3.58, 8 Y 3.59
Y4 0.5000 0.5000 0.7513  4 Pm 3.58, 8 Y 3.59
Y5 0.5000 0.0000 0.1235  8 Y 3.56-3.59, 2 Ho 3.56, 2 Pm 3.59
Y6 0.5000 0.0000 0.3744  8 Y 3.58-3.59, 4 Pm 3.59
Y7 0.5000 0.0000 0.6256  8 Y 3.58-3.59, 4 Pm 3.59
Y8 0.5000 0.0000 0.8765  8 Y 3.56-3.59, 2 Ho 3.56, 2 Pm 3.59
Y9 0.0000 0.5000 0.1235  2 Ho 3.56, 8 Y 3.56-3.59, 2 Pm 3.59
Y10 0.0000 0.5000 0.3744  8 Y 3.58-3.59, 4 Pm 3.59
Y11 0.0000 0.5000 0.6256  8 Y 3.58-3.59, 4 Pm 3.59
Y12 0.0000 0.5000 0.8765  2 Ho 3.56, 8 Y 3.56-3.59, 2 Pm 3.59
Ho1 0.0000 0.0000 0.0000  12 Y 3.56-3.58

=====

Entry from the Alexandria database: a relaxed structure of PmY2Ho5 (PBE).

Properties
The magnetic moment is 0.0 μB per cell. As for the energy above the most stable polymorph in this dataset: 0.0 kJ/mol of formula units. The space-group type is Pbam. For the formation energy from the elements, the calculation gives 19 meV per atom.

abc: 5.0139 7.1083 14.2206
angles: 90.00 90.00 90.00
With the nearest neighbours (Å) after each atom.
Fractional coordinates of all 16 atoms:
Pm1 0.0000 0.0000 0.5000  8 Ho 3.55-3.57, 4 Y 3.56
Pm2 0.0000 0.5000 0.0000  8 Ho 3.55-3.57, 4 Y 3.56
Y1 0.5000 0.2502 0.6256  10 Ho 3.54-3.57, 2 Pm 3.56
Y2 0.5000 0.7498 0.3744  10 Ho 3.54-3.57, 2 Pm 3.56
Y3 0.5000 0.2498 0.1256  10 Ho 3.54-3.57, 2 Pm 3.56
Y4 0.5000 0.7502 0.8744  10 Ho 3.54-3.57, 2 Pm 3.56
Ho1 0.0000 0.0000 0.0000  6 Ho 3.54-3.55, 4 Y 3.55, 2 Pm 3.55
Ho2 0.0000 0.5000 0.5000  6 Ho 3.54-3.55, 4 Y 3.55, 2 Pm 3.55
Ho3 0.0000 0.4997 0.7491  7 Ho 3.54-3.55, 4 Y 3.54-3.55, 1 Pm 3.57
Ho4 0.0000 0.5003 0.2509  7 Ho 3.54-3.55, 4 Y 3.54-3.55, 1 Pm 3.57
Ho5 0.0000 0.0003 0.2491  7 Ho 3.54-3.55, 4 Y 3.54-3.55, 1 Pm 3.57
Ho6 0.0000 0.9997 0.7509  7 Ho 3.54-3.55, 4 Y 3.54-3.55, 1 Pm 3.57
Ho7 0.5000 0.2492 0.8743  4 Y 3.54-3.57, 6 Ho 3.54-3.55, 2 Pm 3.56
Ho8 0.5000 0.7508 0.1257  4 Y 3.54-3.57, 6 Ho 3.54-3.55, 2 Pm 3.56
Ho9 0.5000 0.2508 0.3743  4 Y 3.54-3.57, 6 Ho 3.54-3.55, 2 Pm 3.56
Ho10 0.5000 0.7492 0.6257  4 Y 3.54-3.57, 6 Ho 3.54-3.55, 2 Pm 3.56

=====

Entry from the Alexandria database: a relaxed structure of PmY3Ho5 (PBE).

Properties
The magnetic moment is 0.0 μB per cell. As for the energy above the most stable polymorph in this dataset: 5.3 kJ/mol of formula units. The space-group type is C2/c. For the formation energy from the elements, the calculation gives 304 meV per atom.

abc: 9.6622 9.6622 11.3157
angles: 68.62 68.62 38.39
With the nearest neighbours (Å) after each atom.
Fractional coordinates of all 18 atoms:
Pm1 0.1370 0.8630 0.7500  2 Y 2.96, 1 Ho 2.98
Pm2 0.8630 0.1370 0.2500  2 Y 2.96, 1 Ho 2.98
Y1 0.0000 0.0000 0.0000  2 Pm 2.96
Y2 0.0055 0.6547 0.3697  4 Ho 3.18-3.51, 1 Y 3.39, 1 Pm 3.48
Y3 0.0000 0.0000 0.5000  2 Pm 2.96
Y4 0.9945 0.3453 0.6303  4 Ho 3.18-3.51, 1 Y 3.39, 1 Pm 3.48
Y5 0.6547 0.0055 0.8697  4 Ho 3.18-3.51, 1 Y 3.39, 1 Pm 3.48
Y6 0.3453 0.9945 0.1303  4 Ho 3.18-3.51, 1 Y 3.39, 1 Pm 3.48
Ho1 0.6059 0.3941 0.7500  1 Pm 2.98, 2 Y 3.18
Ho2 0.8513 0.4709 0.9877  4 Ho 3.33-3.52, 1 Pm 3.45, 4 Y 3.50-3.68
Ho3 0.5328 0.1297 0.2119  3 Ho 3.33-3.52, 3 Y 3.41-3.62, 1 Pm 3.43
Ho4 0.1487 0.5291 0.0123  4 Ho 3.33-3.52, 1 Pm 3.45, 4 Y 3.50-3.68
Ho5 0.8703 0.4672 0.2881  3 Ho 3.33-3.52, 3 Y 3.41-3.62, 1 Pm 3.43
Ho6 0.3941 0.6059 0.2500  1 Pm 2.98, 2 Y 3.18
Ho7 0.4709 0.8513 0.4877  4 Ho 3.33-3.52, 1 Pm 3.45, 4 Y 3.50-3.68
Ho8 0.5291 0.1487 0.5123  4 Ho 3.33-3.52, 1 Pm 3.45, 4 Y 3.50-3.68
Ho9 0.1297 0.5328 0.7119  3 Ho 3.33-3.52, 3 Y 3.41-3.62, 1 Pm 3.43
Ho10 0.4672 0.8703 0.7881  3 Ho 3.33-3.52, 3 Y 3.41-3.62, 1 Pm 3.43

=====

Entry from the Alexandria database: a relaxed structure of PmY3Ho6 (PBE).

Properties
The magnetic moment is 0.0 μB per cell. As for the energy above the most stable polymorph in this dataset: 0.0 kJ/mol of formula units. The space-group type is Cmc2_1. For the formation energy from the elements, the calculation gives 142 meV per atom.

abc: 6.1584 10.9726 10.9726
angles: 119.51 90.00 90.00
With the nearest neighbours (Å) after each atom.
Fractional coordinates of all 20 atoms:
Pm1 0.1499 0.2080 0.7920  7 Ho 3.26-3.47, 3 Y 3.28-3.50
Pm2 0.6499 0.7920 0.2080  7 Ho 3.26-3.47, 3 Y 3.28-3.50
Y1 0.4588 0.9365 0.7194  1 Pm 3.28, 6 Ho 3.29-3.62
Y2 0.9588 0.7194 0.9365  1 Pm 3.28, 6 Ho 3.29-3.62
Y3 0.0682 0.3906 0.6094  5 Ho 3.33-3.57, 1 Pm 3.50, 2 Y 3.69
Y4 0.5682 0.6094 0.3906  5 Ho 3.33-3.57, 1 Pm 3.50, 2 Y 3.69
Y5 0.9588 0.0635 0.2806  1 Pm 3.28, 6 Ho 3.29-3.62
Y6 0.4588 0.2806 0.0635  1 Pm 3.28, 6 Ho 3.29-3.62
Ho1 0.0282 0.7121 0.6174  6 Ho 3.40-3.76, 4 Y 3.41-3.57
Ho2 0.5282 0.6174 0.7121  6 Ho 3.40-3.76, 4 Y 3.41-3.57
Ho3 0.3665 0.5403 0.9627  5 Ho 3.24-3.41, 2 Pm 3.26-3.44, 2 Y 3.29-3.57
Ho4 0.8665 0.9627 0.5403  5 Ho 3.24-3.41, 2 Pm 3.26-3.44, 2 Y 3.29-3.57
Ho5 0.4229 0.9524 0.0476  1 Pm 3.35, 4 Y 3.52-3.62, 2 Ho 3.57
Ho6 0.6373 0.2841 0.7159  4 Ho 3.24-3.38, 2 Pm 3.33-3.47, 1 Y 3.33
Ho7 0.1373 0.7159 0.2841  4 Ho 3.24-3.38, 2 Pm 3.33-3.47, 1 Y 3.33
Ho8 0.9229 0.0476 0.9524  1 Pm 3.35, 4 Y 3.52-3.62, 2 Ho 3.57
Ho9 0.3665 0.0373 0.4597  5 Ho 3.24-3.41, 2 Pm 3.26-3.44, 2 Y 3.29-3.57
Ho10 0.8665 0.4597 0.0373  5 Ho 3.24-3.41, 2 Pm 3.26-3.44, 2 Y 3.29-3.57
Ho11 0.0282 0.3826 0.2879  6 Ho 3.40-3.76, 4 Y 3.41-3.57
Ho12 0.5282 0.2879 0.3826  6 Ho 3.40-3.76, 4 Y 3.41-3.57

=====

Entry from the Alexandria database: a relaxed structure of PmYHo4 (PBE).

Properties
The magnetic moment is 0.0 μB per cell. As for the energy above the most stable polymorph in this dataset: 0.0 kJ/mol of formula units. The space-group type is C2/c. For the formation energy from the elements, the calculation gives 9 meV per atom.

abc: 6.1841 6.1843 12.0418
angles: 104.85 104.85 60.02
With the nearest neighbours (Å) after each atom.
Fractional coordinates of all 12 atoms:
Pm1 0.0809 0.9190 0.2500  10 Ho 3.54-3.58, 2 Y 3.54
Pm2 0.9191 0.0810 0.7500  10 Ho 3.54-3.58, 2 Y 3.54
Y1 0.5000 0.0000 0.5000  10 Ho 3.54-3.58, 2 Pm 3.54
Y2 0.0000 0.5000 0.0000  10 Ho 3.54-3.58, 2 Pm 3.54
Ho1 0.2506 0.4168 0.7501  7 Ho 3.53-3.57, 2 Y 3.54, 3 Pm 3.56-3.58
Ho2 0.1675 0.6651 0.4998  7 Ho 3.53-3.59, 2 Pm 3.54, 3 Y 3.56-3.58
Ho3 0.8325 0.3349 0.5002  7 Ho 3.53-3.59, 2 Pm 3.54, 3 Y 3.56-3.58
Ho4 0.4168 0.2505 0.2500  7 Ho 3.53-3.57, 2 Y 3.54, 3 Pm 3.56-3.58
Ho5 0.5832 0.7495 0.7500  7 Ho 3.53-3.57, 2 Y 3.54, 3 Pm 3.56-3.58
Ho6 0.3349 0.8325 0.0002  7 Ho 3.53-3.59, 2 Pm 3.54, 3 Y 3.56-3.58
Ho7 0.6651 0.1675 0.9998  7 Ho 3.53-3.59, 2 Pm 3.54, 3 Y 3.56-3.58
Ho8 0.7494 0.5832 0.2499  7 Ho 3.53-3.57, 2 Y 3.54, 3 Pm 3.56-3.58